VASP calculation (PBE-GGA) on a relaxed structure of Sc2Sn2W.

## Properties
space-group type	P4/mbm, No. 127
DFT total energy	-6.87	eV per atom

a = 7.2681 Å, b = 7.2681 Å, c = 4.0439 Å
α = 90.00°, β = 90.00°, γ = 90.00°
Atoms (fractional coordinates):
Sc (0.1707, 0.6707, 0.5000)
Sc (0.6707, 0.8293, 0.5000)
Sc (0.8293, 0.3293, 0.5000)
Sc (0.3293, 0.1707, 0.5000)
Sn (0.3610, 0.8610, 0.0000)
Sn (0.8610, 0.6390, 0.0000)
Sn (0.6390, 0.1390, 0.0000)
Sn (0.1390, 0.3610, 0.0000)
W (0.0000, 0.0000, 0.0000)
W (0.5000, 0.5000, 0.0000)



VASP calculation (PBE-GGA) on a relaxed structure of Nd5GaSi2.

## Properties
space-group type	I4/mcm, No. 140
uncorrected formation energy	-555	meV/atom
DFT total energy	-5.27	eV per atom

a = 7.8315 Å, b = 7.8315 Å, c = 9.0206 Å
α = 115.73°, β = 115.73°, γ = 90.00°
Atoms (fractional coordinates):
Nd (0.5351, 0.6783, 0.7134)
Nd (0.8217, 0.9649, 0.2866)
Nd (0.0000, 0.0000, 0.0000)
Nd (0.5000, 0.5000, 0.0000)
Nd (0.1783, 0.0351, 0.7134)
Nd (0.6783, 0.1783, 0.7134)
Nd (0.0351, 0.5351, 0.7134)
Nd (0.3217, 0.8217, 0.2866)
Nd (0.9649, 0.4649, 0.2866)
Nd (0.4649, 0.3217, 0.2866)
Ga (0.7500, 0.7500, 0.5000)
Ga (0.2500, 0.2500, 0.5000)
Si (0.1146, 0.3854, 0.0000)
Si (0.6146, 0.1146, 0.0000)
Si (0.3854, 0.8854, 0.0000)
Si (0.8854, 0.6146, 0.0000)